This record from the Alexandria database describes a relaxed BaBeRh crystal. The functional is PBE.

Summary:
DFT formation energy = 1.264 eV/atom
Energy = -3.0699 eV/atom
Size of the total moment = 0.0 μB per formula unit

```
BaBeRh
1.0
0.000 3.457 3.457
3.457 0.000 3.457
3.457 3.457 0.000
Ba Be Rh
1 1 1
direct
0.000 0.000 0.000 Ba
0.750 0.750 0.750 Be
0.250 0.250 0.250 Rh
```